Below is an optimized crystal structure of Pu2Ga6Ru, with properties calculated at the GGA-PBE level.

Unit cell a=5.0687 b=8.4515 c=6.6256 alpha=129.63 beta=117.90 gamma=90.00
With the nearest neighbours (Å) after each atom.
Fractional positions:
Pu  0.5617  0.6708  0.3415  1 Ru 2.67, 2 Ga 2.97
Pu  0.4383  0.3292  0.6585  1 Ru 2.67, 2 Ga 2.97
Ga  0.0440  0.4386  0.2779  3 Ga 2.55-2.70, 1 Ru 2.84
Ga  0.9560  0.1607  0.7221  3 Ga 2.55-2.70, 1 Ru 2.84
Ga  0.9560  0.5614  0.7221  3 Ga 2.55-2.70, 1 Ru 2.84
Ga  0.5000  0.1475  0.0000  3 Ga 2.49-2.55
Ga  0.0440  0.8393  0.2779  3 Ga 2.55-2.70, 1 Ru 2.84
Ga  0.5000  0.8525  0.0000  3 Ga 2.49-2.55
Ru  0.0000  0.0000  0.0000  2 Pu 2.67, 8 Ga 2.82-2.84

Properties
Magnetization   10.53 Bohr magnetons per cell
Excess energy over the best structure of this formula in the dataset   236 meV per atom
Fermi-level density of states   16.91 states/eV per cell